A relaxed structure of SrMgMo2. Source: Alexandria via LeMat-Bulk, functional PBE-GGA.

Results
Its total energy is -5.41 eV/atom. The calculation puts the energy relative to the elements at 0.820 eV/atom.

a = 2.807 Å, b = 2.807 Å, c = 10.054 Å
α = 90.00°, β = 90.00°, γ = 90.16°
Atoms (fractional coordinates):
Mg  0.500  0.500  0.750
Mo  0.000  0.000  0.973
Mo  0.000  0.000  0.527
Sr  0.500  0.500  0.250

=====

A relaxed structure of Hf7TiIn3. Source: Alexandria via LeMat-Bulk, functional PBE-GGA.

Results
Its total energy is -7.52 eV/atom. The calculation puts the energy relative to the elements at 0.275 eV/atom.

a = 5.199 Å, b = 7.454 Å, c = 7.454 Å
α = 88.93°, β = 110.41°, γ = 110.41°
Atoms (fractional coordinates):
Hf  0.201  0.200  0.200
Hf  0.331  0.068  0.594
Hf  0.669  0.406  0.932
Hf  0.331  0.594  0.068
Hf  0.000  0.500  0.500
Hf  0.669  0.932  0.406
Hf  0.799  0.800  0.800
Ti  0.500  0.500  0.500
In  0.000  0.777  0.223
In  0.500  0.000  0.000
In  0.000  0.223  0.777

=====

A relaxed structure of ZnFe2Si. Source: Alexandria via LeMat-Bulk, functional PBE-GGA.

Results
Its total energy is -5.93 eV/atom. The calculation puts the energy relative to the elements, uncorrected at -0.025 eV per atom.

a = 4.291 Å, b = 4.291 Å, c = 4.689 Å
α = 79.30°, β = 79.30°, γ = 35.37°
Last column: magnetic moment on the atom in μB.
Atoms (fractional coordinates):
Fe  0.009  0.009  0.988  2.07
Fe  0.491  0.491  0.512  2.07
Si  0.750  0.750  0.750  -0.04
Zn  0.250  0.250  0.250  -0.04

=====

A relaxed structure of MgNi4P. Source: Alexandria via LeMat-Bulk, functional PBE-GGA.

Results
Its total energy is -5.22 eV/atom. As for the energy above the most stable polymorph in this dataset: 0.0 kJ per mole of atoms. The calculation puts the energy relative to the elements at -0.202 eV/atom.

a = 4.220 Å, b = 5.941 Å, c = 6.554 Å
α = 90.00°, β = 108.78°, γ = 90.00°
Atoms (fractional coordinates):
Mg  0.391  0.750  0.782
Mg  0.609  0.250  0.218
Ni  0.218  0.447  0.435
Ni  0.782  0.553  0.565
Ni  0.218  0.053  0.435
Ni  0.782  0.947  0.565
Ni  0.597  0.750  0.194
Ni  0.403  0.250  0.806
Ni  0.000  0.500  0.000
Ni  0.000  0.000  0.000
P  0.132  0.750  0.263
P  0.868  0.250  0.737

=====

A relaxed structure of Er4SbAs3. Source: Alexandria via LeMat-Bulk, functional PBE-GGA.

Results
Its total energy is -5.93 eV/atom. The calculation puts the energy relative to the elements, uncorrected at -1.389 eV per atom.

a = 4.142 Å, b = 7.196 Å, c = 7.196 Å
α = 70.65°, β = 90.00°, γ = 90.00°
Atoms (fractional coordinates):
Sb  0.500  0.500  0.000
As  0.500  0.000  0.500
As  0.000  0.000  0.000
As  0.000  0.500  0.500
Er  0.000  0.762  0.739
Er  0.500  0.756  0.255
Er  0.000  0.239  0.261
Er  0.500  0.245  0.744

=====

A relaxed structure of HgOsPb2. Source: Alexandria via LeMat-Bulk, functional PBE-GGA.

Results
Its total energy is -3.88 eV/atom. The calculation puts the energy relative to the elements at 0.854 eV/atom.

a = 5.289 Å, b = 5.289 Å, c = 5.289 Å
α = 127.03°, β = 127.03°, γ = 78.20°
Atoms (fractional coordinates):
Hg  0.250  0.750  0.500
Os  0.750  0.250  0.500
Pb  0.000  0.000  0.000
Pb  0.500  0.500  0.000

=====

A relaxed structure of TbPm4Pr2Mg. Source: Alexandria via LeMat-Bulk, functional PBE-GGA.

Results
Its total energy is -4.27 eV/atom. The calculation puts the energy relative to the elements at 0.081 eV/atom.

a = 5.881 Å, b = 5.873 Å, c = 9.670 Å
α = 52.57°, β = 90.00°, γ = 90.00°
Atoms (fractional coordinates):
Tb  0.500  0.500  0.000
Pm  0.000  0.766  0.734
Pm  0.000  0.234  0.266
Pm  0.500  0.734  0.266
Pm  0.500  0.266  0.734
Pr  0.000  0.000  0.000
Pr  0.500  0.000  0.500
Mg  0.000  0.500  0.500

=====

A relaxed structure of ThSc5As2. Source: Alexandria via LeMat-Bulk, functional PBE-GGA.

Results
Its total energy is -6.70 eV/atom. The calculation puts the energy relative to the elements at -0.657 eV/atom.

a = 3.865 Å, b = 7.203 Å, c = 7.203 Å
α = 74.02°, β = 74.44°, γ = 74.44°
Atoms (fractional coordinates):
Th  0.000  0.000  0.000
Sc  0.000  0.500  0.500
Sc  0.353  0.446  0.848
Sc  0.647  0.554  0.152
Sc  0.647  0.152  0.554
Sc  0.353  0.848  0.446
As  0.263  0.237  0.237
As  0.737  0.763  0.763

=====

A relaxed structure of Be2TcCl. Source: Alexandria via LeMat-Bulk, functional PBE-GGA.

Results
Its total energy is -4.79 eV/atom. The calculation puts the energy relative to the elements, uncorrected at 0.126 eV per atom. As for the energy above the most stable polymorph in this dataset: 0.0 kJ per mole of atoms.

a = 4.057 Å, b = 4.057 Å, c = 5.784 Å
α = 83.94°, β = 83.94°, γ = 40.35°
Atoms (fractional coordinates):
Be  0.956  0.956  0.011
Be  0.691  0.691  0.836
Tc  0.219  0.219  0.151
Cl  0.633  0.633  0.502

=====

A relaxed structure of Ba2CuOs. Source: Alexandria via LeMat-Bulk, functional PBE-GGA.

Results
Its total energy is -3.93 eV/atom. As for the energy above the most stable polymorph in this dataset: 44.5 kJ per mole of atoms. The calculation puts the energy relative to the elements at 0.860 eV/atom.

a = 8.591 Å, b = 8.591 Å, c = 8.591 Å
α = 29.81°, β = 29.81°, γ = 29.81°
Last column: magnetic moment on the atom in μB.
Atoms (fractional coordinates):
Ba  0.007  0.007  0.007  -0.04
Ba  0.493  0.493  0.493  -0.04
Cu  0.250  0.250  0.250  0.00
Os  0.750  0.750  0.750  1.23

=====

A relaxed structure of KCl. Source: Alexandria via LeMat-Bulk, functional PBE-GGA.

Results
Its total energy is -3.38 eV/atom. The calculation puts the energy relative to the elements, uncorrected at -1.905 eV per atom.

a = 10.648 Å, b = 10.648 Å, c = 6.283 Å
α = 90.00°, β = 90.00°, γ = 90.00°
Atoms (fractional coordinates):
K  0.853  0.353  0.000
K  0.853  0.647  0.500
K  0.147  0.353  0.500
K  0.147  0.647  0.000
K  0.647  0.147  0.500
K  0.647  0.853  0.000
K  0.353  0.147  0.000
K  0.353  0.853  0.500
Cl  0.648  0.148  0.000
Cl  0.648  0.852  0.500
Cl  0.352  0.148  0.500
Cl  0.352  0.852  0.000
Cl  0.852  0.352  0.500
Cl  0.852  0.648  0.000
Cl  0.148  0.352  0.000
Cl  0.148  0.648  0.500

=====

A relaxed structure of RbBeVCl6. Source: Alexandria via LeMat-Bulk, functional PBE-GGA.

Results
Its total energy is -4.12 eV/atom. The calculation puts the energy relative to the elements, uncorrected at -1.359 eV per atom.

a = 6.133 Å, b = 6.133 Å, c = 7.432 Å
α = 90.00°, β = 90.00°, γ = 60.00°
Last column: magnetic moment on the atom in μB.
Atoms (fractional coordinates):
Rb  0.000  0.000  0.000  0.00
Be  0.333  0.333  0.500  0.01
V  0.667  0.667  0.500  1.87
Cl  0.011  0.368  0.322  -0.02
Cl  0.368  0.011  0.678  -0.02
Cl  0.620  0.368  0.678  -0.02
Cl  0.011  0.620  0.678  -0.02
Cl  0.368  0.620  0.322  -0.02
Cl  0.620  0.011  0.322  -0.02